# 1
## Sm2Ni5Ir5 (GGA-PBE)

Data for an optimized crystal structure of Sm2Ni5Ir5.

energy relative to the elements: -410 meV/atom
energy: -7.297 eV/atom

Cell lengths 4.0599, 5.2417, 8.8992 Å; angles 90.00, 90.00, 90.00 degrees
Fractional positions:
1 Sm 0.0000 0.0000 0.0000
2 Sm 0.0000 0.5000 0.5000
3 Ni 0.0000 0.0000 0.3314
4 Ni 0.0000 0.0000 0.6686
5 Ni 0.0000 0.5000 0.1563
6 Ni 0.0000 0.5000 0.8437
7 Ni 0.5000 0.5000 0.0000
8 Ir 0.5000 0.0000 0.5000
9 Ir 0.5000 0.2533 0.2461
10 Ir 0.5000 0.2533 0.7539
11 Ir 0.5000 0.7467 0.2461
12 Ir 0.5000 0.7467 0.7539


# 2
## Sm2Ni3Ir (GGA-PBE)

Data for an optimized crystal structure of Sm2Ni3Ir.

energy relative to the elements: -485 meV/atom
energy: -6.426 eV/atom

Cell lengths 5.2589, 5.2589, 5.2589 Å; angles 58.71, 58.71, 58.71 degrees
Fractional positions:
1 Sm 0.1241 0.1241 0.1241
2 Sm 0.8759 0.8759 0.8759
3 Ni 0.0000 0.5000 0.5000
4 Ni 0.5000 0.0000 0.5000
5 Ni 0.5000 0.5000 0.0000
6 Ir 0.5000 0.5000 0.5000


Question: Number 1 is which compound?
Answer: Sm2Ni5Ir5